No. 1
## PaSbTe4 (PBE)

Data for a relaxed structure of PaSbTe4.

a = 6.0080 Å, b = 9.8401 Å, c = 8.7532 Å
α = 90.00°, β = 107.78°, γ = 90.00°
Closest atoms and distances in Å follow each position.
Element x y z (fractional)
Pa1 0.0433 0.2500 0.1195  7 Te 3.00-3.13
Pa2 0.9567 0.7500 0.8805  7 Te 3.00-3.13
Sb1 0.1846 0.7500 0.4570  3 Te 2.81-2.96
Sb2 0.8154 0.2500 0.5430  3 Te 2.81-2.96
Te1 0.0666 0.5643 0.1777  1 Sb 2.96, 2 Pa 3.08-3.13, 1 Te 3.23
Te2 0.0666 0.9357 0.1777  1 Sb 2.96, 2 Pa 3.08-3.13, 1 Te 3.23
Te3 0.2470 0.2500 0.4809  1 Sb 2.81, 1 Pa 3.02
Te4 0.4393 0.7500 0.8467  2 Pa 3.00-3.03, 1 Sb 3.28
Te5 0.5607 0.2500 0.1533  2 Pa 3.00-3.03, 1 Sb 3.28
Te6 0.7530 0.7500 0.5191  1 Sb 2.81, 1 Pa 3.02
Te7 0.9334 0.0643 0.8223  1 Sb 2.96, 2 Pa 3.08-3.13, 1 Te 3.23
Te8 0.9334 0.4357 0.8223  1 Sb 2.96, 2 Pa 3.08-3.13, 1 Te 3.23

Summary:
The distance to the lowest polymorph of the same formula comes out at 0.112 eV per atom. Its symmetry is P2_1/m (11). The total energy is -4.746 eV per atom. As for the magnetic moment: 0.1 μB/f.u. The density comes out at 5.82 g/cm³.

=====

No. 2
## Pa2SbTe (PBE)

Data for a relaxed structure of Pa2SbTe.

a = 5.2704 Å, b = 5.2704 Å, c = 5.2704 Å
α = 60.00°, β = 60.00°, γ = 60.00°
Closest atoms and distances in Å follow each position.
Element x y z (fractional)
Pa1 0.2500 0.2500 0.2500  4 Sb 3.23, 4 Te 3.23
Pa2 0.7500 0.7500 0.7500  4 Sb 3.23, 4 Te 3.23
Sb1 0.0000 0.0000 0.0000  8 Pa 3.23
Te1 0.5000 0.5000 0.5000  8 Pa 3.23

Summary:
The distance to the lowest polymorph of the same formula comes out at 0.000 eV per atom. Its symmetry is Fm-3m (225). The total energy is -7.110 eV per atom. As for the magnetic moment: 1.5 μB/f.u. The density comes out at 11.41 g/cm³.

=====

No. 3
## Pa5Sb2Te5 (PBE)

Data for a relaxed structure of Pa5Sb2Te5.

a = 7.1717 Å, b = 7.1717 Å, c = 13.5069 Å
α = 103.94°, β = 103.94°, γ = 34.00°
Closest atoms and distances in Å follow each position.
Element x y z (fractional)
Pa1 0.0000 0.0000 0.0000  2 Sb 3.01, 4 Te 3.04
Pa2 0.1364 0.1364 0.4340  5 Te 3.09-3.14, 1 Sb 3.10
Pa3 0.3127 0.3127 0.1872  2 Sb 3.13, 5 Te 3.15-3.32
Pa4 0.6873 0.6873 0.8128  2 Sb 3.13, 5 Te 3.15-3.32
Pa5 0.8636 0.8636 0.5660  5 Te 3.09-3.14, 1 Sb 3.10
Sb1 0.0129 0.0129 0.7806  4 Pa 3.01-3.13
Sb2 0.9871 0.9871 0.2194  4 Pa 3.01-3.13
Te1 0.2530 0.2530 0.6663  5 Pa 3.09-3.17
Te2 0.3343 0.3343 0.9478  5 Pa 3.04-3.32
Te3 0.5000 0.5000 0.5000  4 Pa 3.09
Te4 0.6657 0.6657 0.0522  5 Pa 3.04-3.32
Te5 0.7470 0.7470 0.3337  5 Pa 3.09-3.17

Summary:
Its symmetry is C2/m (12). The total energy is -6.495 eV per atom. As for the magnetic moment: 6.3 μB/f.u. The density comes out at 9.00 g/cm³.

=====

No. 4
## Pa5Sb5Te2 (PBE)

Data for a relaxed structure of Pa5Sb5Te2.

a = 7.2664 Å, b = 7.2664 Å, c = 13.2502 Å
α = 104.81°, β = 104.81°, γ = 33.76°
Closest atoms and distances in Å follow each position.
Element x y z (fractional)
Pa1 0.0000 0.0000 0.0000  2 Te 3.03, 4 Sb 3.06
Pa2 0.1353 0.1353 0.4394  5 Sb 3.07-3.15, 1 Te 3.13
Pa3 0.3059 0.3059 0.1941  5 Sb 3.11-3.39, 2 Te 3.13
Pa4 0.6941 0.6941 0.8059  5 Sb 3.11-3.39, 2 Te 3.13
Pa5 0.8647 0.8647 0.5606  5 Sb 3.07-3.15, 1 Te 3.13
Sb1 0.2694 0.2694 0.6720  5 Pa 3.07-3.15
Sb2 0.3347 0.3347 0.9483  5 Pa 3.06-3.39
Sb3 0.5000 0.5000 0.5000  4 Pa 3.07
Sb4 0.6653 0.6653 0.0517  5 Pa 3.06-3.39
Sb5 0.7306 0.7306 0.3280  5 Pa 3.07-3.15
Te1 0.0230 0.0230 0.7791  4 Pa 3.03-3.13
Te2 0.9770 0.9770 0.2209  4 Pa 3.03-3.13

Summary:
Its symmetry is C2/m (12). The total energy is -6.630 eV per atom. As for the magnetic moment: 4.8 μB/f.u. The density comes out at 8.95 g/cm³.

=====

No. 5
## Pa2SbTe (PBE)

Data for a relaxed structure of Pa2SbTe.

a = 3.7311 Å, b = 3.7311 Å, c = 7.4792 Å
α = 90.00°, β = 90.00°, γ = 90.00°
Closest atoms and distances in Å follow each position.
Element x y z (fractional)
Pa1 0.0000 0.0000 0.2456  4 Sb 3.21, 4 Te 3.25
Pa2 0.0000 0.0000 0.7544  4 Sb 3.21, 4 Te 3.25
Sb1 0.5000 0.5000 0.0000  8 Pa 3.21
Te1 0.5000 0.5000 0.5000  8 Pa 3.25

Summary:
The distance to the lowest polymorph of the same formula comes out at 0.002 eV per atom. Its symmetry is P4/mmm (123). The total energy is -7.108 eV per atom. As for the magnetic moment: 2.1 μB/f.u. The density comes out at 11.35 g/cm³.

=====

No. 6
## PaSb2Te (PBE)

Data for a relaxed structure of PaSb2Te.

a = 6.2222 Å, b = 6.2222 Å, c = 6.2222 Å
α = 138.39°, β = 138.39°, γ = 60.31°
Closest atoms and distances in Å follow each position.
Element x y z (fractional)
Pa1 0.0000 0.0000 0.0000  4 Te 3.13, 8 Sb 3.48
Sb1 0.2500 0.7500 0.5000  4 Sb 3.13, 4 Te 3.48, 4 Pa 3.48
Sb2 0.7500 0.2500 0.5000  4 Sb 3.13, 4 Te 3.48, 4 Pa 3.48
Te1 0.5000 0.5000 0.0000  4 Pa 3.13, 8 Sb 3.48

Summary:
The distance to the lowest polymorph of the same formula comes out at 0.017 eV per atom. Its symmetry is I4/mmm (139). The total energy is -5.632 eV per atom. As for the magnetic moment: 0.0 μB/f.u. The density comes out at 9.51 g/cm³.

=====

No. 7
## Pa2SbTe2 (PBE)

Data for a relaxed structure of Pa2SbTe2.

a = 7.5433 Å, b = 7.5433 Å, c = 7.5433 Å
α = 147.82°, β = 132.54°, γ = 58.50°
Closest atoms and distances in Å follow each position.
Element x y z (fractional)
Pa1 0.1684 0.1684 0.0000  4 Te 3.04-3.13, 2 Sb 3.05
Pa2 0.8316 0.8316 0.0000  4 Te 3.04-3.13, 2 Sb 3.05
Sb1 0.0000 0.5000 0.5000  4 Pa 3.05
Te1 0.3457 0.8457 0.5000  4 Pa 3.04-3.13
Te2 0.6543 0.1543 0.5000  4 Pa 3.04-3.13

Summary:
Its symmetry is Immm (71). The total energy is -6.458 eV per atom. As for the magnetic moment: 1.9 μB/f.u. The density comes out at 8.34 g/cm³.

=====

No. 8
## PaTiSbTe (PBE)

Data for a relaxed structure of PaTiSbTe.

a = 5.0837 Å, b = 5.0837 Å, c = 5.0837 Å
α = 60.00°, β = 60.00°, γ = 60.00°
Closest atoms and distances in Å follow each position.
Element x y z (fractional)
Pa1 0.0000 0.0000 0.0000  4 Sb 3.11, 4 Te 3.11
Ti1 0.5000 0.5000 0.5000  4 Sb 3.11, 4 Te 3.11
Sb1 0.7500 0.7500 0.7500  4 Pa 3.11, 4 Ti 3.11
Te1 0.2500 0.2500 0.2500  4 Ti 3.11, 4 Pa 3.11

Summary:
Its symmetry is F-43m (216). The total energy is -6.602 eV per atom. As for the magnetic moment: 0.0 μB/f.u. The density comes out at 9.44 g/cm³.

=====

No. 9
## UPaSbTe (PBE)

Data for a relaxed structure of UPaSbTe.

a = 5.3035 Å, b = 5.3035 Å, c = 5.3035 Å
α = 60.00°, β = 60.00°, γ = 60.00°
Closest atoms and distances in Å follow each position.
Element x y z (fractional)
U1 0.0000 0.0000 0.0000  4 Te 3.25, 4 Sb 3.25
Pa1 0.5000 0.5000 0.5000  4 Te 3.25, 4 Sb 3.25
Sb1 0.2500 0.2500 0.2500  4 Pa 3.25, 4 U 3.25
Te1 0.7500 0.7500 0.7500  4 Pa 3.25, 4 U 3.25

Summary:
Its symmetry is F-43m (216). The total energy is -7.436 eV per atom. As for the magnetic moment: 5.0 μB/f.u. The density comes out at 11.31 g/cm³.

=====

No. 10
## Th4PaSb5 (PBE)

Data for a relaxed structure of Th4PaSb5.

a = 7.7555 Å, b = 7.7555 Å, c = 7.7555 Å
α = 99.61°, β = 99.61°, γ = 131.76°
Closest atoms and distances in Å follow each position.
Element x y z (fractional)
Th1 0.0956 0.6979 0.7935  6 Sb 3.17-3.19
Th2 0.3021 0.0956 0.3977  6 Sb 3.17-3.19
Th3 0.6979 0.9044 0.6023  6 Sb 3.17-3.19
Th4 0.9044 0.3021 0.2065  6 Sb 3.17-3.19
Pa1 0.5000 0.5000 0.0000  6 Sb 3.10-3.17
Sb1 0.0000 0.0000 0.0000  2 Pa 3.17, 4 Th 3.17
Sb2 0.2071 0.3999 0.6070  1 Pa 3.10, 5 Th 3.17-3.19
Sb3 0.3999 0.7929 0.1928  1 Pa 3.10, 5 Th 3.17-3.19
Sb4 0.6001 0.2071 0.8072  1 Pa 3.10, 5 Th 3.17-3.19
Sb5 0.7929 0.6001 0.3930  1 Pa 3.10, 5 Th 3.17-3.19

Summary:
Its symmetry is I4/m (87). The total energy is -6.786 eV per atom. As for the magnetic moment: 0.5 μB/f.u. The density comes out at 9.24 g/cm³.